Entry 1:
5
Lattice="5.2304 0.0000 0.0000 0.0000 5.2304 0.0000 0.0000 0.0000 5.2304" Properties=species:S:1:pos:R:3 comment="PBE Y3TaTc, relaxed" de_polymorph_mev_per_atom=0 dos_at_fermi_per_ev_atom=1.113 e_tot_ev_per_cell=-37.5 pbc="T T T"
Y 0.0000 0.0000 2.6152
Y 0.0000 2.6152 0.0000
Y 2.6152 0.0000 0.0000
Ta 2.6152 2.6152 2.6152
Tc 0.0000 0.0000 0.0000

=====

Entry 2:
10
Lattice="4.7620 0.0000 0.0000 -1.5031 5.2621 0.0000 -1.1029 -1.5069 10.8162" Properties=species:S:1:pos:R:3 comment="PBE TlH2Se2, relaxed" e_tot_ev_per_cell=-33.2 pbc="T T T"
Tl -0.3869 1.0894 1.6645
Tl 2.5428 2.6657 9.1516
H -1.3378 3.8365 4.0923
H 0.2951 0.4348 8.0922
H 1.8609 3.3203 2.7240
H 3.4938 -0.0814 6.7238
Se -0.1820 0.9287 6.7416
Se 1.1441 3.6862 0.3631
Se 1.0119 0.0690 10.4530
Se 2.3379 2.8265 4.0745

=====

Entry 3:
4
Lattice="4.4737 0.0000 0.0000 -2.2369 3.8744 0.0000 0.0000 0.0000 5.2844" Properties=species:S:1:pos:R:3 comment="PBE AgW, relaxed" de_polymorph_mev_per_atom=2110 dos_at_fermi_per_ev_atom=1.206 e_tot_ev_per_cell=-21.8 pbc="T T T"
Ag 0.0000 2.5829 1.3211
Ag 2.2369 1.2914 3.9633
W 0.0000 2.5829 3.9633
W 2.2369 1.2914 1.3211

=====

Entry 4:
4
Lattice="0.0000 3.1223 3.1223 3.1223 0.0000 3.1223 3.1223 3.1223 0.0000" Properties=species:S:1:pos:R:3 comment="PBE TaCrIrRu, relaxed" dos_at_fermi_per_ev_atom=1.551 e_tot_ev_per_cell=-40.4 pbc="T T T"
Ta 0.0000 0.0000 0.0000
Cr 3.1223 3.1223 3.1223
Ir 4.6835 4.6835 4.6835
Ru 1.5612 1.5612 1.5612